# Ac2AgGe4Pd3

A geometry-optimized Ac2AgGe4Pd3 structure (PBE, Alexandria via LeMat-Bulk).

a b c (Å): 4.4985 4.4985 10.4319
angles (deg): 90.00 90.00 90.00
Space group P-4m2 (No. 115)
Asymmetric unit:
Ac  0.0000  0.5000  0.2476 x2
Ag  0.0000  0.0000  0.5000 x1
Ge  0.0000  0.0000  0.0000 x1
Ge  0.0000  0.5000  0.6353 x2
Ge  0.5000  0.5000  0.0000 x1
Pd  0.0000  0.5000  0.8784 x2
Pd  0.5000  0.5000  0.5000 x1

VASP energy in eV per formula unit: -52.35
Density in g cm⁻³: 9.22
Total magnetic moment in μB/cell: 0.0

---

# NaCrCd2I

A geometry-optimized NaCrCd2I structure (PBE, Alexandria via LeMat-Bulk).

a b c (Å): 6.8576 6.8576 5.2106
angles (deg): 90.00 90.00 90.00
Space group P4/mmm (No. 123)
Asymmetric unit:
Na  0.0000  0.0000  0.0000 x1
Cr  0.5000  0.5000  0.0000 x1
Cd  0.0000  0.5000  0.5000 x2
I  0.5000  0.5000  0.5000 x1

Formation energy from raw total energies in kJ/mol of atoms: 60.4
VASP energy in eV per formula unit: -11.19
Density in g cm⁻³: 2.89
Total magnetic moment in μB/cell: 4.8

---

# Be2IrPtC

A geometry-optimized Be2IrPtC structure (PBE, Alexandria via LeMat-Bulk).

a b c (Å): 4.0900 4.0900 4.9657
angles (deg): 90.00 90.00 90.00
Space group P4/mmm (No. 123)
Asymmetric unit:
Be  0.0000  0.5000  0.0000 x2
Ir  0.0000  0.0000  0.5000 x1
Pt  0.0000  0.0000  0.0000 x1
C  0.5000  0.5000  0.5000 x1

VASP energy in eV per formula unit: -21.85
Density in g cm⁻³: 8.34
Total magnetic moment in μB/cell: 1.2

---

# La2NdSm9

A geometry-optimized La2NdSm9 structure (PBE, Alexandria via LeMat-Bulk).

a b c (Å): 11.5747 11.5747 3.5552
angles (deg): 90.00 90.00 120.00
Space group P6/mmm (No. 191)
Asymmetric unit:
La  0.3333  0.6667  0.0000 x2
Nd  0.0000  0.0000  0.0000 x1
Sm  0.0000  0.5000  0.0000 x3
Sm  0.1718  0.3435  0.5000 x6

VASP energy in eV per formula unit: -56.39
Density in g cm⁻³: 7.15
Total magnetic moment in μB/cell: 0.0

---

# Al2CrRh

A geometry-optimized Al2CrRh structure (PBE, Alexandria via LeMat-Bulk).

a b c (Å): 6.8448 6.8448 5.4681
angles (deg): 90.00 90.00 90.00
Space group I-42d (No. 122)
Asymmetric unit:
Al  0.2294  0.2500  0.1250 x8
Cr  0.0000  0.0000  0.5000 x4
Rh  0.0000  0.0000  0.0000 x4

VASP energy in eV per formula unit: -24.21
Density in g cm⁻³: 5.42
Total magnetic moment in μB/cell: 12.3

---

# CeAlTc2

A geometry-optimized CeAlTc2 structure (PBE, Alexandria via LeMat-Bulk).

a b c (Å): 4.5132 4.5132 3.3648
angles (deg): 90.00 90.00 90.00
Space group P4/mmm (No. 123)
Asymmetric unit:
Ce  0.0000  0.0000  0.0000 x1
Al  0.5000  0.5000  0.0000 x1
Tc  0.0000  0.5000  0.5000 x2

VASP energy in eV per formula unit: -30.97
Density in g cm⁻³: 8.80
Total magnetic moment in μB/cell: 0.0

---

# Pm3CoIr

A geometry-optimized Pm3CoIr structure (PBE, Alexandria via LeMat-Bulk).

a b c (Å): 20.5000 3.8249 6.6844
angles (deg): 90.00 98.13 90.00
Space group C2/m (No. 12)
Asymmetric unit:
Pm  0.0104  0.0000  0.2436 x4
Pm  0.1399  0.5000  0.6238 x4
Pm  0.1826  0.0000  0.1297 x4
Co  0.2388  0.0000  0.5812 x4
Ir  0.0772  0.5000  0.9963 x4

VASP energy in eV per formula unit: -31.81
Density in g cm⁻³: 8.78
Total magnetic moment in μB/cell: 2.3